Record 1
A plane-wave DFT calculation with GGA-PBE was carried out for a geometry-optimized CdSe4Cl structure.

## Properties
E_form (uncorrected): 1.85 eV/f.u.

The structure in CIF format:
```
data_CdSe4Cl
_chemical_formula_sum 'Cd4 Se16 Cl4'
_cell_length_a 8.131
_cell_length_b 8.131
_cell_length_c 8.131
_cell_angle_alpha 90.00
_cell_angle_beta 90.00
_cell_angle_gamma 90.00
_symmetry_space_group_name_H-M 'F -4 3 m'
_symmetry_Int_Tables_number 216
_symmetry_space_group_name_Hall 'F -4 2 3'
loop_
_atom_site_label
_atom_site_fract_x
_atom_site_fract_y
_atom_site_fract_z
Cd1 0.000 0.000 0.000
Se1 0.124 0.124 0.376
Cl1 0.250 0.250 0.750
```

=====

Record 2
A plane-wave DFT calculation with GGA-PBE was carried out for a geometry-optimized Cu6Pd2Pt structure.

## Properties
Formation energy: -0.068 eV per atom

The structure in CIF format:
```
data_Cu6Pd2Pt
_chemical_formula_sum 'Cu24 Pd8 Pt4'
_cell_length_a 12.100
_cell_length_b 8.924
_cell_length_c 4.518
_cell_angle_alpha 90.00
_cell_angle_beta 99.30
_cell_angle_gamma 90.00
_symmetry_space_group_name_H-M 'C 1 2/c 1'
_symmetry_Int_Tables_number 15
loop_
_symmetry_equiv_pos_as_xyz
'x,y,z'
'-x,-y,-z'
'-x,y,-z+1/2'
'x,-y,z+1/2'
'x+1/2,y+1/2,z'
'-x+1/2,-y+1/2,-z'
'-x+1/2,y+1/2,-z+1/2'
'x+1/2,-y+1/2,z+1/2'
loop_
_atom_site_label
_atom_site_fract_x
_atom_site_fract_y
_atom_site_fract_z
Cu1 0.055 0.125 0.030
Cu2 0.112 0.375 0.302
Cu3 0.221 0.375 0.865
Pd1 0.167 0.124 0.582
Pt1 0.000 0.373 0.750
```